Crystalline Sr3Mg4Hg4 at its relaxed geometry, computed with PBE.

abc: 7.5187 7.5187 7.5187
angles: 109.47 109.47 109.47
With the nearest neighbours (Å) after each atom.
Positions (direct):
Sr: 0.5000 0.5000 0.0000  4 Hg 3.57, 4 Mg 3.59
Sr: 0.5000 0.0000 0.5000  4 Hg 3.57, 4 Mg 3.59
Sr: 0.0000 0.5000 0.5000  4 Hg 3.57, 4 Mg 3.59
Mg: 0.0000 0.2572 0.0000  4 Hg 2.69-2.90
Mg: 0.0000 0.0000 0.2572  4 Hg 2.69-2.90
Mg: 0.2572 0.0000 0.0000  4 Hg 2.69-2.90
Mg: 0.7428 0.7428 0.7428  4 Hg 2.69-2.90
Hg: 0.0000 0.6148 0.0000  4 Mg 2.69-2.90
Hg: 0.6148 0.0000 0.0000  4 Mg 2.69-2.90
Hg: 0.0000 0.0000 0.6148  4 Mg 2.69-2.90
Hg: 0.3852 0.3852 0.3852  4 Mg 2.69-2.90

Values from the calculation:
Energy of formation = -0.305 eV/atom
Calculated volume = 29.744 Å³/atom
Energy above the most stable polymorph in this dataset = 69 meV/atom
Crystal system = cubic
Space group = I-43m
Energy = -1.453 eV/atom